Pr2Dy3Ho8 PBE relaxed; D(E_F) = 22.141 states/eV per cell; total moment = 0.00 μB/f.u.; SG = P2/m; calculated formation energy = 0.242 eV per atom
1.0
5.463 0.000 0.766
0.000 7.615 -0.002
-1.446 -3.811 10.305
Ho Dy Pr
8 3 2
Cartesian
5.095 -0.001 3.388 Ho
1.592 1.617 8.499 Ho
1.592 -1.625 8.499 Ho
2.425 2.187 2.570 Ho
4.480 -0.004 7.765 Ho
2.425 5.429 2.570 Ho
-0.463 3.808 3.304 Ho
-1.078 3.805 7.681 Ho
-1.446 1.614 10.302 Dy
2.732 0.000 0.383 Dy
0.000 2.191 0.001 Dy
2.035 -0.003 5.336 Pr
1.982 3.807 5.733 Pr